A relaxed Pm5TlCd6 crystal, computed with PBE.

Cell: 5.252 7.891 15.993 Å, 90.00 90.00 90.00°
Space group Immm (No. 71)
Symmetry-distinct sites (fractional):
Pm 0.000 0.000 0.000 x2
Pm 0.000 0.000 0.344 x4
Pm 0.000 0.500 0.328 x4
Tl 0.000 0.500 0.000 x2
Cd 0.000 0.249 0.166 x8
Cd 0.000 0.261 0.500 x4

Values from the calculation:
ΔE_f   -0.278 eV/atom
Size of the total moment   0.62 Bohr magnetons per cell
Crystal system   orthorhombic



A relaxed LiP2Ir crystal, computed with PBE.

Cell: 2.948 4.638 4.467 Å, 90.00 109.14 90.00°
Space group Pm (No. 6)
Symmetry-distinct sites (fractional):
Li 0.000 0.000 0.000 x1
P 0.337 0.500 0.677 x1
P 0.725 0.000 0.455 x1
Ir 0.615 0.500 0.233 x1

Values from the calculation:
ΔE_f   -0.187 eV/atom
Size of the total moment   0.00 Bohr magnetons per cell
Crystal system   monoclinic



A relaxed V9Pd11Rh4 crystal, computed with PBE.

Cell: 10.991 16.545 3.938 Å, 90.00 90.00 90.00°
Space group Cmmm (No. 65)
Symmetry-distinct sites (fractional):
V 0.000 0.000 0.000 x2
V 0.120 0.252 0.000 x8
V 0.130 0.424 0.000 x8
Pd 0.000 0.170 0.500 x4
Pd 0.000 0.336 0.500 x4
Pd 0.000 0.500 0.500 x2
Pd 0.242 0.331 0.500 x8
Pd 0.246 0.000 0.500 x4
Rh 0.144 0.099 0.000 x8

Values from the calculation:
ΔE_f   -0.078 eV/atom
Size of the total moment   0.00 Bohr magnetons per cell
Crystal system   orthorhombic



A relaxed Ca2Tb2GaPd4 crystal, computed with PBE.

Cell: 6.906 6.906 8.740 Å, 90.00 90.00 90.00°
Space group I4/mmm (No. 139)
Symmetry-distinct sites (fractional):
Ca 0.000 0.500 0.250 x4
Tb 0.000 0.000 0.182 x4
Ga 0.000 0.000 0.500 x2
Pd 0.243 0.243 0.000 x8

Values from the calculation:
ΔE_f   -0.498 eV/atom
Size of the total moment   0.00 Bohr magnetons per cell
Crystal system   tetragonal



| no. | DFT total energy (hartree per atom) |
| --- | --- |
| 1 | -0.1070 |
| 2 | -0.2053 |
| 3 | -0.2610 |
| 4 | -0.1696 |